*i*
First-principles (PBE) data for crystalline SmAl3Au2 at its relaxed geometry, as listed in the Alexandria database.

Its magnetic moment is 0.00 Bohr magnetons per cell.

The space group is C2/m (No. 12) and the conventional cell measures 15.454, 4.225 and 8.258 Å, with angles of 90.00, 115.46 and 90.00 degrees. The distinct sites, in fractional coordinates, are Sm at (0.144, 0.000, 0.090), Al at (0.020, 0.000, 0.358), Al at (0.131, 0.500, 0.768), Al at (0.179, 0.500, 0.452), Au at (0.017, 0.500, 0.177) and Au at (0.184, 0.000, 0.662).


*ii*
First-principles (PBE) data for crystalline SmAl3Au2 at its relaxed geometry, as listed in the Alexandria database.

Its magnetic moment is 0.00 Bohr magnetons per cell.

The space group is C2/m (No. 12) and the conventional cell measures 16.873, 4.252 and 10.195 Å, with angles of 90.00, 104.90 and 90.00 degrees. The distinct sites, in fractional coordinates, are Sm at (0.000, 0.000, 0.000), Sm at (0.158, 0.000, 0.706), Al at (0.000, 0.500, 0.500), Al at (0.042, 0.000, 0.360), Al at (0.127, 0.500, 0.197), Al at (0.165, 0.500, 0.957), Al at (0.213, 0.000, 0.377), Au at (0.025, 0.500, 0.779), Au at (0.147, 0.500, 0.460) and Au at (0.198, 0.000, 0.116).


Relative to the most stable one, in meV/atom, the structures come out at *i* 71; *ii* 0.


*i*
First-principles (PBE) data for crystalline SmAl3Au3 at its relaxed geometry, as listed in the Alexandria database.

Its magnetic moment is 0.00 Bohr magnetons per cell.

The space group is P2_1/m (No. 11) and the conventional cell measures 7.430, 4.514 and 8.960 Å, with angles of 90.00, 108.44 and 90.00 degrees. The distinct sites, in fractional coordinates, are Sm at (0.206, 0.250, 0.279), Al at (0.121, 0.250, 0.904), Al at (0.224, 0.750, 0.744), Al at (0.462, 0.250, 0.714), Au at (0.035, 0.250, 0.605), Au at (0.228, 0.750, 0.041) and Au at (0.391, 0.750, 0.540).


*ii*
First-principles (PBE) data for crystalline SmAl3Au3 at its relaxed geometry, as listed in the Alexandria database.

Its magnetic moment is 0.00 Bohr magnetons per cell.

The space group is R-3 (No. 148, hexagonal axes) and the conventional cell measures 8.2474, 8.2474 and 15.4409 Å, with angles of 90.00, 90.00 and 120.00 degrees. The distinct sites, in fractional coordinates, are Sm at (0.0000, 0.0000, 0.1795), Al at (0.0054, 0.6970, 0.6198) and Au at (0.0087, 0.2995, 0.5564).


*iii*
First-principles (PBE) data for crystalline SmAl3Au3 at its relaxed geometry, as listed in the Alexandria database.

Its magnetic moment is 0.00 Bohr magnetons per cell.

The space group is Pm-3n (No. 223) and the conventional cell measures 6.935, 6.935 and 6.935 Å, with angles of 90.00, 90.00 and 90.00 degrees. The distinct sites, in fractional coordinates, are Sm at (0.000, 0.000, 0.000), Al at (0.000, 0.250, 0.500) and Au at (0.000, 0.500, 0.250).


Relative to the most stable one, in meV/atom, the structures come out at *i* 0; *ii* 92; *iii* 292.


*i*
First-principles (PBE) data for crystalline SmYAlAu at its relaxed geometry, as listed in the Alexandria database.

Its magnetic moment is 0.00 Bohr magnetons per cell.

The space group is Amm2 (No. 38) and the conventional cell measures 4.560, 3.832 and 11.495 Å, with angles of 90.00, 90.00 and 90.00 degrees. The distinct sites, in fractional coordinates, are Sm at (0.000, 0.000, 0.000), Y at (0.500, 0.000, 0.298), Al at (0.000, 0.000, 0.725) and Au at (0.500, 0.000, 0.580).


*ii*
First-principles (PBE) data for crystalline SmYAlAu at its relaxed geometry, as listed in the Alexandria database.

Its magnetic moment is 0.00 Bohr magnetons per cell.

The space group is F-43m (No. 216) and the conventional cell measures 7.345, 7.345 and 7.345 Å, with angles of 90.00, 90.00 and 90.00 degrees. The distinct sites, in fractional coordinates, are Sm at (0.000, 0.000, 0.000), Y at (0.000, 0.000, 0.500), Al at (0.250, 0.250, 0.750) and Au at (0.250, 0.250, 0.250).


Relative to the most stable one, in meV/atom, the structures come out at *i* 0; *ii* 53.


*i*
First-principles (PBE) data for crystalline AlSnAu2 at its relaxed geometry, as listed in the Alexandria database.

Its magnetic moment is 0.00 Bohr magnetons per cell.

The space group is I-42d (No. 122) and the conventional cell measures 7.351, 7.351 and 6.387 Å, with angles of 90.00, 90.00 and 90.00 degrees. The distinct sites, in fractional coordinates, are Al at (0.000, 0.000, 0.000), Sn at (0.000, 0.000, 0.500) and Au at (0.215, 0.250, 0.125).


*ii*
First-principles (PBE) data for crystalline AlSnAu2 at its relaxed geometry, as listed in the Alexandria database.

Its magnetic moment is 0.00 Bohr magnetons per cell.

The space group is P4/mmm (No. 123) and the conventional cell measures 3.152, 3.152 and 7.905 Å, with angles of 90.00, 90.00 and 90.00 degrees. The distinct sites, in fractional coordinates, are Al at (0.000, 0.000, 0.000), Sn at (0.000, 0.000, 0.500) and Au at (0.500, 0.500, 0.198).


Relative to the most stable one, in meV/atom, the structures come out at *i* 100; *ii* 0.